1.
! YLuAu | Alexandria | PBE | relaxed; values from VASP
! * E: -5.189 eV per atom
! * N(E_F): 0.6954 states/eV/atom
! * formation energy from the elements: -1.3 eV per formula unit
&SYSTEM
  ibrav = 0, nat = 3, ntyp = 3
/
ATOMIC_SPECIES
Y 88.91 Y.upf
Lu 174.97 Lu.upf
Au 196.97 Au.upf
ATOMIC_POSITIONS crystal
Y 0.611 0.667 0.333
Lu 0.090 0.000 0.000
Au 0.299 0.333 0.667
CELL_PARAMETERS angstrom
-3.375 0.305 -1.735
-2.248 -0.553 4.276
1.202 4.446 -1.557

2.
! URe2Os | Alexandria | PBE | relaxed; values from VASP
! * E: -11.767 eV per atom
! * N(E_F): 0.9102 states/eV/atom
! * formation energy from the elements: 0.3 eV per formula unit
&SYSTEM
  ibrav = 0, nat = 4, ntyp = 3
/
ATOMIC_SPECIES
Os 190.23 Os.upf
U 238.03 U.upf
Re 186.21 Re.upf
ATOMIC_POSITIONS crystal
Os 0.500 0.500 0.500
U 0.500 0.000 0.000
Re 0.000 0.000 0.500
Re 0.000 0.500 0.000
CELL_PARAMETERS angstrom
4.066 0.000 0.000
0.000 4.049 0.000
0.000 0.000 4.049

3.
! PrZnPd3 | Alexandria | PBE | relaxed; values from VASP
! * E: -4.859 eV per atom
! * N(E_F): 0.3297 states/eV/atom
! * formation energy from the elements: -2.7 eV per formula unit
&SYSTEM
  ibrav = 0, nat = 20, ntyp = 3
/
ATOMIC_SPECIES
Pr 140.91 Pr.upf
Zn 65.41 Zn.upf
Pd 106.42 Pd.upf
ATOMIC_POSITIONS crystal
Pr 0.333 0.667 0.250
Pr 0.667 0.333 0.750
Pr 0.000 0.000 0.500
Pr 0.000 0.000 0.000
Zn 0.667 0.333 0.139
Zn 0.333 0.667 0.639
Zn 0.333 0.667 0.861
Zn 0.667 0.333 0.361
Pd 0.142 0.283 0.750
Pd 0.283 0.142 0.250
Pd 0.858 0.142 0.250
Pd 0.142 0.858 0.750
Pd 0.717 0.858 0.750
Pd 0.858 0.717 0.250
Pd 0.500 0.500 0.500
Pd 0.500 0.000 0.000
Pd 0.500 0.500 0.000
Pd 0.500 0.000 0.500
Pd 0.000 0.500 0.500
Pd 0.000 0.500 0.000
CELL_PARAMETERS angstrom
-2.034 1.253 5.676
-1.210 -5.465 -2.568
10.319 -4.486 4.687

4.
! SiSb2Te | Alexandria | PBE | relaxed; values from VASP
! * E: -3.892 eV per atom
! * E_form (uncorrected): 0.3105 eV/atom
! * N(E_F): 0.6104 states/eV/atom
&SYSTEM
  ibrav = 0, nat = 4, ntyp = 3
/
ATOMIC_SPECIES
Sb 121.76 Sb.upf
Si 28.09 Si.upf
Te 127.60 Te.upf
ATOMIC_POSITIONS crystal
Sb 0.006 0.006 0.000
Sb 0.681 0.181 0.500
Si 0.500 0.500 0.000
Te 0.313 0.813 0.500
CELL_PARAMETERS angstrom
-1.648 -1.405 6.184
3.632 -3.651 4.051
-0.119 5.222 -3.956

- Look up the E of the fourth one.
  -3.892 eV per atom

- Which formula does entry 3 have?
  PrZnPd3

- Number 2 is which compound?
  URe2Os